## Pm5DyRh6 (GGA-PBE)

Data for a relaxed structure of Pm5DyRh6.

a b c (Å): 7.8760 7.8760 6.9308
angles (deg): 90.00 90.00 143.15
Positions (direct):
1 Pm 0.0000 0.0000 0.0000
2 Pm 0.3335 0.6665 0.0000
3 Pm 0.3339 0.6661 0.5000
4 Pm 0.6661 0.3339 0.5000
5 Pm 0.6665 0.3335 0.0000
6 Dy 0.0000 0.0000 0.5000
7 Rh 0.1643 0.8357 0.2521
8 Rh 0.1643 0.8357 0.7479
9 Rh 0.5000 0.5000 0.2555
10 Rh 0.5000 0.5000 0.7445
11 Rh 0.8357 0.1643 0.2521
12 Rh 0.8357 0.1643 0.7479

Calculated values
Formation energy from the elements (eV/f.u.): -8.56
Space group: Cmmm



## CrInPtAu (GGA-PBE)

Data for a relaxed structure of CrInPtAu.

a b c (Å): 4.6237 4.6237 4.6237
angles (deg): 60.00 60.00 60.00
Positions (direct):
1 Cr 0.0000 0.0000 0.0000
2 In 0.5000 0.5000 0.5000
3 Pt 0.2500 0.2500 0.2500
4 Au 0.7500 0.7500 0.7500

Calculated values
Formation energy from the elements (eV/f.u.): -0.47
Space group: F-43m